No. 1
A plane-wave DFT calculation with PBE was carried out for crystalline Ca2BeZnAu6 at its relaxed geometry.

The structure in CIF format:
```
data_Ca2BeZnAu6
_cell_length_a 6.3476
_cell_length_b 6.4151
_cell_length_c 6.9839
_cell_angle_alpha 90.21
_cell_angle_beta 116.17
_cell_angle_gamma 119.64
_symmetry_space_group_name_H-M 'P -1'
_symmetry_Int_Tables_number 2
loop_
_symmetry_equiv_pos_as_xyz
'x,y,z'
'-x,-y,-z'
loop_
_atom_site_label
_atom_site_type_symbol
_atom_site_fract_x
_atom_site_fract_y
_atom_site_fract_z
Ca1 Ca 0.0503 0.2764 0.3339
Be1 Be 0.5000 0.5000 0.0000
Zn1 Zn 0.5000 0.0000 0.5000
Au1 Au 0.0204 0.2601 0.8098
Au2 Au 0.4232 0.7351 0.1704
Au3 Au 0.4245 0.1922 0.1747
```

Values from the calculation:
- Electronic total energy: -3.310 eV per atom
- ΔE_f: -0.443 eV/atom
- DOS(E_F): 3.1 states/eV/cell

No. 2
A plane-wave DFT calculation with PBE was carried out for crystalline BaLaThN3 at its relaxed geometry.

The structure in CIF format:
```
data_BaLaThN3
_cell_length_a 6.4359
_cell_length_b 3.8080
_cell_length_c 9.8827
_cell_angle_alpha 90.00
_cell_angle_beta 101.80
_cell_angle_gamma 90.00
_symmetry_space_group_name_H-M 'P 1 21/m 1'
_symmetry_Int_Tables_number 11
loop_
_symmetry_equiv_pos_as_xyz
'x,y,z'
'-x,-y,-z'
'-x,y+1/2,-z'
'x,-y+1/2,z'
loop_
_atom_site_label
_atom_site_type_symbol
_atom_site_fract_x
_atom_site_fract_y
_atom_site_fract_z
Ba1 Ba 0.1621 0.2500 0.1950
La1 La 0.3555 0.2500 0.8562
Th1 Th 0.2617 0.7500 0.5399
N1 N 0.0558 0.2500 0.6305
N2 N 0.2823 0.7500 0.9824
N3 N 0.4667 0.7500 0.3669
```

Values from the calculation:
- Electronic total energy: -7.712 eV per atom
- ΔE_f (raw): -1170.7 meV/atom

No. 3
A plane-wave DFT calculation with PBE was carried out for crystalline TaAlOs2 at its relaxed geometry.

The structure in CIF format:
```
data_TaAlOs2
_cell_length_a 3.0199
_cell_length_b 4.7116
_cell_length_c 8.6101
_cell_angle_alpha 90.00
_cell_angle_beta 90.00
_cell_angle_gamma 90.00
_symmetry_space_group_name_H-M 'C m m m'
_symmetry_Int_Tables_number 65
_symmetry_space_group_name_Hall '-C 2 2'
loop_
_atom_site_label
_atom_site_type_symbol
_atom_site_fract_x
_atom_site_fract_y
_atom_site_fract_z
Ta1 Ta 0.0000 0.0000 0.0000
Al1 Al 0.0000 0.0000 0.5000
Os1 Os 0.0000 0.5000 0.2601
```

Values from the calculation:
- Electronic total energy: -9.580 eV per atom
- ΔE_f: -0.066 eV/atom
- DOS(E_F): 6.0 states/eV/cell

No. 4
A plane-wave DFT calculation with PBE was carried out for crystalline HoZr2Re at its relaxed geometry.

The structure in CIF format:
```
data_HoZr2Re
_cell_length_a 3.3465
_cell_length_b 3.3465
_cell_length_c 8.0572
_cell_angle_alpha 90.00
_cell_angle_beta 90.00
_cell_angle_gamma 90.00
_symmetry_space_group_name_H-M 'P 4/m m m'
_symmetry_Int_Tables_number 123
_symmetry_space_group_name_Hall '-P 4 2'
loop_
_atom_site_label
_atom_site_type_symbol
_atom_site_fract_x
_atom_site_fract_y
_atom_site_fract_z
Ho1 Ho 0.0000 0.0000 0.0000
Zr1 Zr 0.5000 0.5000 0.3052
Re1 Re 0.0000 0.0000 0.5000
```

Values from the calculation:
- Electronic total energy: -8.552 eV per atom
- ΔE_f: -0.022 eV/atom
- DOS(E_F): 6.7 states/eV/cell

No. 5
A plane-wave DFT calculation with PBE was carried out for crystalline Pm2MgCuO5 at its relaxed geometry.

The structure in CIF format:
```
data_Pm2MgCuO5
_cell_length_a 6.5668
_cell_length_b 6.5668
_cell_length_c 5.6757
_cell_angle_alpha 90.00
_cell_angle_beta 90.00
_cell_angle_gamma 90.00
_symmetry_space_group_name_H-M 'P 4/m b m'
_symmetry_Int_Tables_number 127
_symmetry_space_group_name_Hall '-P 4 2ab'
loop_
_atom_site_label
_atom_site_type_symbol
_atom_site_fract_x
_atom_site_fract_y
_atom_site_fract_z
Pm1 Pm 0.1708 0.3292 0.0000
Mg1 Mg 0.0000 0.0000 0.5000
Cu1 Cu 0.0000 0.5000 0.5000
O1 O 0.0000 0.0000 0.0000
O2 O 0.1462 0.6462 0.2641
```

Values from the calculation:
- Electronic total energy: -6.654 eV per atom
- ΔE_f (raw): -2211.6 meV/atom

No. 6
A plane-wave DFT calculation with PBE was carried out for crystalline CsKInSb at its relaxed geometry.

The structure in CIF format:
```
data_CsKInSb
_cell_length_a 8.5261
_cell_length_b 8.5261
_cell_length_c 8.5261
_cell_angle_alpha 90.00
_cell_angle_beta 90.00
_cell_angle_gamma 90.00
_symmetry_space_group_name_H-M 'F -4 3 m'
_symmetry_Int_Tables_number 216
_symmetry_space_group_name_Hall 'F -4 2 3'
loop_
_atom_site_label
_atom_site_type_symbol
_atom_site_fract_x
_atom_site_fract_y
_atom_site_fract_z
Cs1 Cs 0.0000 0.0000 0.0000
K1 K 0.2500 0.2500 0.7500
In1 In 0.2500 0.2500 0.2500
Sb1 Sb 0.0000 0.0000 0.5000
```

Values from the calculation:
- Electronic total energy: -2.393 eV per atom
- ΔE_f (raw): -190.3 meV/atom
- DOS(E_F): 4.9 states/eV/cell

No. 7
A plane-wave DFT calculation with PBE was carried out for crystalline PuH12Rh5 at its relaxed geometry.

The structure in CIF format:
```
data_PuH12Rh5
_cell_length_a 4.4277
_cell_length_b 4.4426
_cell_length_c 8.1616
_cell_angle_alpha 94.31
_cell_angle_beta 92.39
_cell_angle_gamma 110.41
_symmetry_space_group_name_H-M 'P -1'
_symmetry_Int_Tables_number 2
loop_
_symmetry_equiv_pos_as_xyz
'x,y,z'
'-x,-y,-z'
loop_
_atom_site_label
_atom_site_type_symbol
_atom_site_fract_x
_atom_site_fract_y
_atom_site_fract_z
Pu1 Pu 0.0000 0.0000 0.0000
H1 H 0.0558 0.5664 0.7385
H2 H 0.0997 0.2588 0.5623
H3 H 0.2667 0.2616 0.3171
H4 H 0.3247 0.6124 0.0395
H5 H 0.4241 0.9541 0.8070
H6 H 0.4670 0.8160 0.3934
Rh1 Rh 0.1542 0.9070 0.6362
Rh2 Rh 0.4102 0.5563 0.8381
Rh3 Rh 0.5000 0.5000 0.5000
```

Values from the calculation:
- Electronic total energy: -5.114 eV per atom
- DOS(E_F): 15.5 states/eV/cell

No. 8
A plane-wave DFT calculation with PBE was carried out for crystalline Sr3PtO5 at its relaxed geometry.

The structure in CIF format:
```
data_Sr3PtO5
_cell_length_a 6.8324
_cell_length_b 6.8324
_cell_length_c 12.5031
_cell_angle_alpha 90.00
_cell_angle_beta 90.00
_cell_angle_gamma 90.00
_symmetry_space_group_name_H-M 'I 4/m c m'
_symmetry_Int_Tables_number 140
_symmetry_space_group_name_Hall '-I 4 2c'
loop_
_atom_site_label
_atom_site_type_symbol
_atom_site_fract_x
_atom_site_fract_y
_atom_site_fract_z
Sr1 Sr 0.0000 0.0000 0.2500
Sr2 Sr 0.1765 0.3235 0.0000
Pt1 Pt 0.0000 0.5000 0.2500
O1 O 0.0000 0.0000 0.0000
O2 O 0.1317 0.3683 0.3681
```

Values from the calculation:
- Electronic total energy: -5.838 eV per atom
- ΔE_f (raw): -1851.4 meV/atom

No. 9
A plane-wave DFT calculation with PBE was carried out for crystalline CaAlGa2Fe at its relaxed geometry.

The structure in CIF format:
```
data_CaAlGa2Fe
_cell_length_a 4.6114
_cell_length_b 4.6114
_cell_length_c 4.5511
_cell_angle_alpha 90.00
_cell_angle_beta 90.00
_cell_angle_gamma 90.00
_symmetry_space_group_name_H-M 'P 4/m m m'
_symmetry_Int_Tables_number 123
_symmetry_space_group_name_Hall '-P 4 2'
loop_
_atom_site_label
_atom_site_type_symbol
_atom_site_fract_x
_atom_site_fract_y
_atom_site_fract_z
Ca1 Ca 0.0000 0.0000 0.0000
Al1 Al 0.5000 0.5000 0.0000
Ga1 Ga 0.0000 0.5000 0.5000
Fe1 Fe 0.5000 0.5000 0.5000
```

Values from the calculation:
- Electronic total energy: -4.328 eV per atom
- ΔE_f: -0.276 eV/atom
- DOS(E_F): 2.1 states/eV/cell

No. 10
A plane-wave DFT calculation with PBE was carried out for crystalline DyPa2Si3Ir4 at its relaxed geometry.

The structure in CIF format:
```
data_DyPa2Si3Ir4
_cell_length_a 4.0294
_cell_length_b 4.0294
_cell_length_c 11.3293
_cell_angle_alpha 90.00
_cell_angle_beta 90.00
_cell_angle_gamma 90.00
_symmetry_space_group_name_H-M 'P -4 m 2'
_symmetry_Int_Tables_number 115
loop_
_symmetry_equiv_pos_as_xyz
'x,y,z'
'y,-x,-z'
'-x,-y,z'
'-y,x,-z'
'-x,y,z'
'-y,-x,-z'
'x,-y,z'
'y,x,-z'
loop_
_atom_site_label
_atom_site_type_symbol
_atom_site_fract_x
_atom_site_fract_y
_atom_site_fract_z
Dy1 Dy 0.0000 0.0000 0.0000
Pa1 Pa 0.0000 0.5000 0.7253
Si1 Si 0.0000 0.5000 0.3812
Si2 Si 0.5000 0.5000 0.0000
Ir1 Ir 0.0000 0.0000 0.5000
Ir2 Ir 0.0000 0.5000 0.1714
Ir3 Ir 0.5000 0.5000 0.5000
```

Values from the calculation:
- Electronic total energy: -8.413 eV per atom
- ΔE_f (raw): -882.5 meV/atom
- DOS(E_F): 6.1 states/eV/cell

No. 11
A plane-wave DFT calculation with PBE was carried out for crystalline Ti5ZnN6 at its relaxed geometry.

The structure in CIF format:
```
data_Ti5ZnN6
_cell_length_a 5.2278
_cell_length_b 9.0393
_cell_length_c 5.2341
_cell_angle_alpha 90.00
_cell_angle_beta 109.56
_cell_angle_gamma 90.00
_symmetry_space_group_name_H-M 'C 1 2/m 1'
_symmetry_Int_Tables_number 12
loop_
_symmetry_equiv_pos_as_xyz
'x,y,z'
'-x,-y,-z'
'-x,y,-z'
'x,-y,z'
'x+1/2,y+1/2,z'
'-x+1/2,-y+1/2,-z'
'-x+1/2,y+1/2,-z'
'x+1/2,-y+1/2,z'
loop_
_atom_site_label
_atom_site_type_symbol
_atom_site_fract_x
_atom_site_fract_y
_atom_site_fract_z
Ti1 Ti 0.0000 0.0000 0.0000
Ti2 Ti 0.0000 0.1661 0.5000
Ti3 Ti 0.0000 0.3377 0.0000
Zn1 Zn 0.0000 0.5000 0.5000
N1 N 0.2465 0.0000 0.7495
N2 N 0.2458 0.1692 0.2438
```

Values from the calculation:
- Electronic total energy: -8.940 eV per atom
- ΔE_f (raw): -1382.0 meV/atom
- DOS(E_F): 8.8 states/eV/cell

Copy entry 5 word for word.
A plane-wave DFT calculation with PBE was carried out for crystalline Pm2MgCuO5 at its relaxed geometry.

The structure in CIF format:
```
data_Pm2MgCuO5
_cell_length_a 6.5668
_cell_length_b 6.5668
_cell_length_c 5.6757
_cell_angle_alpha 90.00
_cell_angle_beta 90.00
_cell_angle_gamma 90.00
_symmetry_space_group_name_H-M 'P 4/m b m'
_symmetry_Int_Tables_number 127
_symmetry_space_group_name_Hall '-P 4 2ab'
loop_
_atom_site_label
_atom_site_type_symbol
_atom_site_fract_x
_atom_site_fract_y
_atom_site_fract_z
Pm1 Pm 0.1708 0.3292 0.0000
Mg1 Mg 0.0000 0.0000 0.5000
Cu1 Cu 0.0000 0.5000 0.5000
O1 O 0.0000 0.0000 0.0000
O2 O 0.1462 0.6462 0.2641
```

Values from the calculation:
- Electronic total energy: -6.654 eV per atom
- ΔE_f (raw): -2211.6 meV/atom

- What is the formula in the sixth record?
  CsKInSb

- The highest electronic total energy belongs to which entry?
  CsKInSb